1.
# NbAlB

NbAlB after structural relaxation (PBE, Alexandria via LeMat-Bulk).

```
data_NbAlB
_chemical_formula_sum 'Nb4 Al4 B4'
_cell_length_a 3.355
_cell_length_b 14.672
_cell_length_c 3.127
_cell_angle_alpha 90.00
_cell_angle_beta 90.00
_cell_angle_gamma 90.00
_space_group_name_H-M_alt 'P 1'
_space_group_IT_number 1
loop_
_space_group_symop_operation_xyz
'x,y,z'
loop_
_atom_site_label
_atom_site_fract_x
_atom_site_fract_y
_atom_site_fract_z
Nb1 0.000 0.088 0.250
Nb2 0.000 0.912 0.750
Nb3 0.500 0.412 0.750
Nb4 0.500 0.588 0.250
Al1 0.000 0.299 0.250
Al2 0.000 0.701 0.750
Al3 0.500 0.201 0.750
Al4 0.500 0.799 0.250
B1 0.000 0.470 0.250
B2 0.000 0.530 0.750
B3 0.500 0.030 0.750
B4 0.500 0.970 0.250
```

Results
magnetization	0.000	Bohr magnetons per cell
SG	No. 63



2.
# Nb4AlB

Nb4AlB after structural relaxation (PBE, Alexandria via LeMat-Bulk).

```
data_Nb4AlB
_chemical_formula_sum 'Nb8 Al2 B2'
_cell_length_a 7.119
_cell_length_b 7.119
_cell_length_c 5.551
_cell_angle_alpha 103.04
_cell_angle_beta 103.04
_cell_angle_gamma 46.06
_space_group_name_H-M_alt 'P 1'
_space_group_IT_number 1
loop_
_space_group_symop_operation_xyz
'x,y,z'
loop_
_atom_site_label
_atom_site_fract_x
_atom_site_fract_y
_atom_site_fract_z
Nb1 0.010 0.796 0.979
Nb2 0.198 0.429 0.391
Nb3 0.204 0.990 0.521
Nb4 0.429 0.198 0.891
Nb5 0.571 0.802 0.109
Nb6 0.796 0.010 0.479
Nb7 0.802 0.571 0.609
Nb8 0.990 0.204 0.021
Al1 0.474 0.526 0.750
Al2 0.526 0.474 0.250
B1 0.000 0.500 0.000
B2 0.500 0.000 0.500
```

Results
magnetization	0.000	Bohr magnetons per cell
SG	No. 15



3.
# NbAlB

NbAlB after structural relaxation (PBE, Alexandria via LeMat-Bulk).

```
data_NbAlB
_chemical_formula_sum 'Nb2 Al2 B2'
_cell_length_a 3.007
_cell_length_b 3.007
_cell_length_c 10.601
_cell_angle_alpha 90.00
_cell_angle_beta 90.00
_cell_angle_gamma 120.00
_space_group_name_H-M_alt 'P 1'
_space_group_IT_number 1
loop_
_space_group_symop_operation_xyz
'x,y,z'
loop_
_atom_site_label
_atom_site_fract_x
_atom_site_fract_y
_atom_site_fract_z
Nb1 0.000 0.000 0.000
Nb2 0.333 0.667 0.356
Al1 0.333 0.667 0.788
Al2 0.667 0.333 0.571
B1 0.333 0.667 0.150
B2 0.667 0.333 0.176
```

Results
magnetization	0.000	Bohr magnetons per cell
SG	No. 156



4.
# Nb2AlB2Ru5

Nb2AlB2Ru5 after structural relaxation (PBE, Alexandria via LeMat-Bulk).

```
data_Nb2AlB2Ru5
_chemical_formula_sum 'Nb4 Al2 B4 Ru10'
_cell_length_a 9.328
_cell_length_b 9.328
_cell_length_c 2.995
_cell_angle_alpha 90.00
_cell_angle_beta 90.00
_cell_angle_gamma 90.00
_space_group_name_H-M_alt 'P 1'
_space_group_IT_number 1
loop_
_space_group_symop_operation_xyz
'x,y,z'
loop_
_atom_site_label
_atom_site_fract_x
_atom_site_fract_y
_atom_site_fract_z
Nb1 0.177 0.323 0.000
Nb2 0.323 0.823 0.000
Nb3 0.677 0.177 0.000
Nb4 0.823 0.677 0.000
Al1 0.000 0.000 0.000
Al2 0.500 0.500 0.000
B1 0.125 0.625 0.000
B2 0.375 0.125 0.000
B3 0.625 0.875 0.000
B4 0.875 0.375 0.000
Ru1 0.000 0.500 0.500
Ru2 0.069 0.785 0.500
Ru3 0.215 0.069 0.500
Ru4 0.285 0.569 0.500
Ru5 0.431 0.285 0.500
Ru6 0.500 0.000 0.500
Ru7 0.569 0.715 0.500
Ru8 0.715 0.431 0.500
Ru9 0.785 0.931 0.500
Ru10 0.931 0.215 0.500
```

Results
magnetization	0.000	Bohr magnetons per cell
SG	No. 127



5.
# Nb2AlTlB

Nb2AlTlB after structural relaxation (PBE, Alexandria via LeMat-Bulk).

```
data_Nb2AlTlB
_chemical_formula_sum 'Nb2 Al1 Tl1 B1'
_cell_length_a 4.942
_cell_length_b 4.942
_cell_length_c 3.849
_cell_angle_alpha 90.00
_cell_angle_beta 90.00
_cell_angle_gamma 90.00
_space_group_name_H-M_alt 'P 1'
_space_group_IT_number 1
loop_
_space_group_symop_operation_xyz
'x,y,z'
loop_
_atom_site_label
_atom_site_fract_x
_atom_site_fract_y
_atom_site_fract_z
Nb1 0.000 0.500 0.000
Nb2 0.500 0.000 0.000
Al1 0.000 0.000 0.000
Tl1 0.500 0.500 0.500
B1 0.000 0.000 0.500
```

Results
magnetization	0.000	Bohr magnetons per cell
SG	No. 123



6.
# NdAlB4

NdAlB4 after structural relaxation (PBE, Alexandria via LeMat-Bulk).

```
data_NdAlB4
_chemical_formula_sum 'Nd4 Al4 B16'
_cell_length_a 6.056
_cell_length_b 11.734
_cell_length_c 3.683
_cell_angle_alpha 90.00
_cell_angle_beta 90.00
_cell_angle_gamma 90.00
_space_group_name_H-M_alt 'P 1'
_space_group_IT_number 1
loop_
_space_group_symop_operation_xyz
'x,y,z'
loop_
_atom_site_label
_atom_site_fract_x
_atom_site_fract_y
_atom_site_fract_z
Nd1 0.127 0.150 0.000
Nd2 0.373 0.650 0.000
Nd3 0.627 0.350 0.000
Nd4 0.873 0.850 0.000
Al1 0.137 0.410 0.000
Al2 0.363 0.910 0.000
Al3 0.637 0.090 0.000
Al4 0.863 0.590 0.000
B1 0.027 0.691 0.500
B2 0.112 0.546 0.500
B3 0.136 0.969 0.500
B4 0.214 0.814 0.500
B5 0.286 0.314 0.500
B6 0.364 0.469 0.500
B7 0.388 0.046 0.500
B8 0.473 0.191 0.500
B9 0.527 0.809 0.500
B10 0.612 0.954 0.500
B11 0.636 0.531 0.500
B12 0.714 0.686 0.500
B13 0.786 0.186 0.500
B14 0.864 0.031 0.500
B15 0.888 0.454 0.500
B16 0.973 0.309 0.500
```

Results
magnetization	0.000	Bohr magnetons per cell
SG	No. 55



Record-wise D(E_F) values, in states/eV/cell: 5.78 7.39 3.00 10.36 6.63 4.59
Record-wise electronic total energy values, in eV/atom: -7.37 -8.62 -7.11 -8.92 -5.38 -6.27